Record 1
Material: Ca2HfF
Method: DFT, PBE-GGA
State: optimized geometry

Cell: 3.3195 3.3195 29.1430 Å, 90.00 90.00 120.00°
Space group R-3m (No. 166, hexagonal axes)
Inequivalent atoms, fractional coordinates:
Ca  0.0000  0.0000  0.1085 [6 per cell]
Hf  0.0000  0.0000  0.0000 [3 per cell]
F  0.0000  0.0000  0.5000 [3 per cell]

Calculated values
Polymorph energy (0 for the lowest one), kJ per mole of atoms: 3.05
Fermi-level density of states, states/eV per atom: 0.90
Formation energy from raw total energies, meV per atom: -745.9


Record 2
Material: Ca2HfF
Method: DFT, PBE-GGA
State: optimized geometry

Cell: 7.729 7.729 7.729 Å, 90.00 90.00 90.00°
Space group Fm-3m (No. 225)
Inequivalent atoms, fractional coordinates:
Ca  0.250  0.250  0.250 [8 per cell]
Hf  0.000  0.000  0.000 [4 per cell]
F  0.000  0.000  0.500 [4 per cell]

Calculated values
Polymorph energy (0 for the lowest one), kJ per mole of atoms: 88.26
Fermi-level density of states, states/eV per atom: 1.16
Formation energy from raw total energies, meV per atom: 137.3


Record 3
Material: CaHfF3
Method: DFT, PBE-GGA
State: optimized geometry

Cell: 4.456 4.456 4.456 Å, 90.00 90.00 90.00°
Space group Pm-3m (No. 221)
Inequivalent atoms, fractional coordinates:
Ca  0.000  0.000  0.000 [1 per cell]
Hf  0.500  0.500  0.500 [1 per cell]
F  0.000  0.000  0.500 [3 per cell]

Calculated values
Polymorph energy (0 for the lowest one), kJ per mole of atoms: 15.16
Fermi-level density of states, states/eV per atom: 0.67
Formation energy from raw total energies, meV per atom: -1996.7


Record 4
Material: CaHfF3
Method: DFT, PBE-GGA
State: optimized geometry

Cell: 4.438 4.438 4.438 Å, 90.00 90.00 90.00°
Space group Pm-3m (No. 221)
Inequivalent atoms, fractional coordinates:
Ca  0.000  0.000  0.000 [1 per cell]
Hf  0.500  0.500  0.500 [1 per cell]
F  0.000  0.500  0.500 [3 per cell]

Calculated values
Polymorph energy (0 for the lowest one), kJ per mole of atoms: 0.00
Fermi-level density of states, states/eV per atom: 1.24
Formation energy from raw total energies, meV per atom: -2153.9


Record 5
Material: Ca2HfF8
Method: DFT, PBE-GGA
State: optimized geometry

Cell: 6.384 9.729 4.519 Å, 90.00 97.65 90.00°
Space group C2/m (No. 12)
Inequivalent atoms, fractional coordinates:
Ca  0.000  0.184  0.000 [4 per cell]
Hf  0.000  0.500  0.500 [2 per cell]
F  0.000  0.286  0.500 [4 per cell]
F  0.188  0.378  0.148 [8 per cell]
F  0.193  0.000  0.311 [4 per cell]

Calculated values
Fermi-level density of states, states/eV per atom: 0.00
Formation energy from raw total energies, meV per atom: -3616.9


Record 6
Material: CaHfF2
Method: DFT, PBE-GGA
State: optimized geometry

Cell: 6.579 6.579 6.579 Å, 90.00 90.00 90.00°
Space group Fm-3m (No. 225)
Inequivalent atoms, fractional coordinates:
Ca  0.000  0.000  0.000 [4 per cell]
Hf  0.000  0.000  0.500 [4 per cell]
F  0.250  0.250  0.250 [8 per cell]

Calculated values
Polymorph energy (0 for the lowest one), kJ per mole of atoms: 118.25
Fermi-level density of states, states/eV per atom: 0.72
Formation energy from raw total energies, meV per atom: -1102.0


Record 7
Material: CaHfF2
Method: DFT, PBE-GGA
State: optimized geometry

Cell: 5.410 5.410 10.238 Å, 90.00 90.00 90.00°
Space group I-42d (No. 122)
Inequivalent atoms, fractional coordinates:
Ca  0.000  0.000  0.000 [4 per cell]
Hf  0.000  0.000  0.500 [4 per cell]
F  0.250  0.250  0.125 [8 per cell]

Calculated values
Polymorph energy (0 for the lowest one), kJ per mole of atoms: 45.80
Fermi-level density of states, states/eV per atom: 0.26
Formation energy from raw total energies, meV per atom: -1852.8


Record 8
Material: Ca2HfF
Method: DFT, PBE-GGA
State: optimized geometry

Cell: 7.048 7.048 8.486 Å, 90.00 90.00 90.00°
Space group I-42d (No. 122)
Inequivalent atoms, fractional coordinates:
Ca  0.123  0.750  0.125 [8 per cell]
Hf  0.000  0.000  0.500 [4 per cell]
F  0.000  0.000  0.000 [4 per cell]

Calculated values
Polymorph energy (0 for the lowest one), kJ per mole of atoms: 0.00
Fermi-level density of states, states/eV per atom: 1.13
Formation energy from raw total energies, meV per atom: -777.4


Record 9
Material: CaHfIn2F
Method: DFT, PBE-GGA
State: optimized geometry

Cell: 5.290 5.290 4.248 Å, 90.00 90.00 90.00°
Space group P4/mmm (No. 123)
Inequivalent atoms, fractional coordinates:
Ca  0.000  0.000  0.000 [1 per cell]
Hf  0.500  0.500  0.000 [1 per cell]
In  0.000  0.500  0.500 [2 per cell]
F  0.500  0.500  0.500 [1 per cell]

Calculated values
Fermi-level density of states, states/eV per atom: 0.69
Formation energy from raw total energies, meV per atom: -626.1


Record 10
Material: CaHfInF2
Method: DFT, PBE-GGA
State: optimized geometry

Cell: 4.641 4.641 5.960 Å, 90.00 90.00 90.00°
Space group P4/mmm (No. 123)
Inequivalent atoms, fractional coordinates:
Ca  0.000  0.000  0.000 [1 per cell]
Hf  0.500  0.500  0.000 [1 per cell]
In  0.500  0.500  0.500 [1 per cell]
F  0.000  0.500  0.500 [2 per cell]

Calculated values
Fermi-level density of states, states/eV per atom: 0.82
Formation energy from raw total energies, meV per atom: -542.8


Record 11
Material: Ca2HfIrF
Method: DFT, PBE-GGA
State: optimized geometry

Cell: 4.276 4.276 5.832 Å, 90.00 90.00 90.00°
Space group P4/mmm (No. 123)
Inequivalent atoms, fractional coordinates:
Ca  0.000  0.500  0.000 [2 per cell]
Hf  0.000  0.000  0.500 [1 per cell]
Ir  0.500  0.500  0.500 [1 per cell]
F  0.500  0.500  0.000 [1 per cell]

Calculated values
Fermi-level density of states, states/eV per atom: 0.87
Formation energy from raw total energies, meV per atom: -648.1


- formation energy from raw total energies of number 10 (CaHfInF2)?
  -542.8 meV per atom